Entry 1:
## ThBr2 (PBE)

Data for ThBr2 after structural relaxation.

Unit cell a=7.6898 b=7.6898 c=3.5548 alpha=90.00 beta=90.00 gamma=90.00
With the nearest neighbours (Å) after each atom.
Fractional positions:
Th (0.5000, 0.5000, 0.5000)  6 Br 3.00-3.02
Th (0.0000, 0.0000, 0.0000)  6 Br 3.00-3.02
Br (0.2759, 0.2759, 0.0000)  3 Th 3.00-3.02
Br (0.7759, 0.2241, 0.5000)  3 Th 3.00-3.02
Br (0.7241, 0.7241, 0.0000)  3 Th 3.00-3.02
Br (0.2241, 0.7759, 0.5000)  3 Th 3.00-3.02

- energy (eV per atom) = -4.77



Entry 2:
## ThBr4 (PBE)

Data for ThBr4 after structural relaxation.

Unit cell a=7.2988 b=7.2988 c=7.5386 alpha=93.78 beta=93.78 gamma=77.02
With the nearest neighbours (Å) after each atom.
Fractional positions:
Br (0.3265, 0.3265, 0.1532)  1 Th 2.72
Br (0.9498, 0.9498, 0.2574)  2 Th 2.95-3.03
Br (0.5524, 0.1715, 0.6596)  2 Th 2.96-2.97
Br (0.8285, 0.4476, 0.3404)  2 Th 2.96-2.97
Br (0.6735, 0.6735, 0.8468)  1 Th 2.72
Br (0.0502, 0.0502, 0.7426)  2 Th 2.95-3.03
Br (0.1715, 0.5524, 0.6596)  2 Th 2.96-2.97
Br (0.4476, 0.8285, 0.3404)  2 Th 2.96-2.97
Th (0.1971, 0.1971, 0.4397)  7 Br 2.72-3.03
Th (0.8029, 0.8029, 0.5603)  7 Br 2.72-3.03

- energy (eV per atom) = -4.54



Entry 3:
## TmTlBr3 (PBE)

Data for TmTlBr3 after structural relaxation.

Unit cell a=9.5662 b=3.8949 c=16.5256 alpha=90.00 beta=90.00 gamma=90.00
With the nearest neighbours (Å) after each atom.
Fractional positions:
Br (0.2370, 0.2500, 0.3005)  1 Tm 2.82
Br (0.7630, 0.7500, 0.6995)  1 Tm 2.82
Br (0.4496, 0.2500, 0.6227)  3 Tm 2.89-2.91
Br (0.7370, 0.2500, 0.1995)  1 Tm 2.82
Br (0.1704, 0.7500, 0.5001)  2 Tm 2.83
Br (0.0504, 0.7500, 0.1227)  3 Tm 2.89-2.91
Br (0.5504, 0.7500, 0.3773)  3 Tm 2.89-2.91
Br (0.9496, 0.2500, 0.8773)  3 Tm 2.89-2.91
Br (0.3296, 0.2500, 0.0001)  2 Tm 2.83
Br (0.6704, 0.7500, 0.9999)  2 Tm 2.83
Br (0.2630, 0.7500, 0.8005)  1 Tm 2.82
Br (0.8296, 0.2500, 0.4999)  2 Tm 2.83
Tl (0.0502, 0.2500, 0.6769)  8 Br 3.39-3.69
Tl (0.5502, 0.2500, 0.8231)  8 Br 3.39-3.69
Tl (0.4498, 0.7500, 0.1769)  8 Br 3.39-3.69
Tl (0.9498, 0.7500, 0.3231)  8 Br 3.39-3.69
Tm (0.8685, 0.2500, 0.0471)  6 Br 2.82-2.91
Tm (0.6315, 0.7500, 0.5471)  6 Br 2.82-2.91
Tm (0.1315, 0.7500, 0.9529)  6 Br 2.82-2.91
Tm (0.3685, 0.2500, 0.4529)  6 Br 2.82-2.91

- energy (eV per atom) = -3.63



Volume values, unit Å³/cell, following the record order: 210.2 390.0 615.7.